{"formula": "CsFe2PdBr8", "functional": "PBE", "state": "relaxed", "cell": [[-1.3812, -2.7704, -5.9012], [1.8730, -6.3952, -0.0008], [-9.1755, -4.2276, 2.4634]], "species": ["Br", "Br", "Br", "Br", "Br", "Br", "Br", "Br", "Fe", "Fe", "Pd", "Cs"], "fractional_positions": [[0.7270, 0.2325, 0.1929], [0.2325, 0.7270, 0.1929], [0.6795, 0.6795, 0.4064], [0.7675, 0.2730, 0.8071], [0.2360, 0.2360, 0.9877], [0.7640, 0.7640, 0.0123], [0.2730, 0.7675, 0.8071], [0.3205, 0.3205, 0.5936], [0.3910, 0.3910, 0.7954], [0.6090, 0.6090, 0.2046], [0.0000, 0.0000, 0.0000], [0.0000, 0.0000, 0.5000]], "raw_formation_energy_mev_per_atom": -654, "e_tot_ev_per_atom": -3.684, "spacegroup": "C2/m"}

***

{"formula": "CsPmFeBr6", "functional": "PBE", "state": "relaxed", "cell": [[7.0584, 0.0001, 0.0000], [3.5294, 6.1126, 0.0001], [0.0001, -0.0001, 8.2154]], "species": ["Pm", "Br", "Br", "Br", "Br", "Br", "Br", "Cs", "Fe"], "fractional_positions": [[0.3333, 0.3334, 0.5000], [0.3863, 0.9635, 0.6862], [0.6501, 0.3864, 0.6863], [0.9634, 0.6502, 0.6863], [0.9635, 0.3864, 0.3137], [0.6501, 0.9635, 0.3137], [0.3864, 0.6501, 0.3137], [0.0000, 0.0000, 0.0000], [0.6666, 0.6667, 0.5000]], "raw_formation_energy_mev_per_atom": -1238, "e_tot_ev_per_atom": -3.916, "spacegroup": "P312"}

***

{"formula": "CsPrFeBr6", "functional": "PBE", "state": "relaxed", "cell": [[-3.2722, 4.5952, 4.6226], [-0.9336, -1.8937, 6.9810], [7.2014, 3.2496, 1.8536]], "species": ["Cs", "Fe", "Br", "Br", "Br", "Br", "Br", "Br", "Pr"], "fractional_positions": [[0.0001, 0.0001, 0.0000], [0.6669, 0.6669, 0.5000], [0.6370, 0.3906, 0.6983], [0.3876, 0.9721, 0.6956], [0.9726, 0.6393, 0.6964], [0.3905, 0.6371, 0.3017], [0.6393, 0.9726, 0.3035], [0.9720, 0.3876, 0.3044], [0.3338, 0.3338, 0.5000]], "raw_formation_energy_mev_per_atom": -1362, "e_tot_ev_per_atom": -4.044, "spacegroup": "C2"}

***

{"formula": "CsPuFe2Br8", "functional": "PBE", "state": "relaxed", "cell": [[-5.2495, -2.5214, -3.7437], [1.8215, -0.8871, -6.6201], [2.8391, -10.3510, 1.0984]], "species": ["Br", "Br", "Br", "Br", "Br", "Br", "Br", "Br", "Fe", "Fe", "Pu", "Cs"], "fractional_positions": [[0.2706, 0.7685, 0.7953], [0.6866, 0.6866, 0.4080], [0.2560, 0.2560, 0.9835], [0.3134, 0.3134, 0.5920], [0.2315, 0.7294, 0.2047], [0.7685, 0.2706, 0.7953], [0.7440, 0.7440, 0.0165], [0.7294, 0.2315, 0.2047], [0.3861, 0.3861, 0.7880], [0.6139, 0.6139, 0.2120], [0.0000, 0.0000, 0.0000], [0.0000, 0.0000, 0.5000]], "raw_formation_energy_mev_per_atom": -983, "e_tot_ev_per_atom": -4.774, "spacegroup": "C2/m"}